Crystalline Dy7Y3Tl2 at its relaxed geometry. Source: the Alexandria database, functional PBE.

The structure in POSCAR format:
```
Dy7Y3Tl2
1.0
5.606 0.000 0.000
0.000 3.619 0.000
-1.160 0.000 18.340
Dy Y Tl
7 3 2
Direct
0.000 0.000 0.000
0.166 0.500 0.171
0.258 0.500 0.541
0.335 0.000 0.851
0.665 0.000 0.149
0.742 0.500 0.459
0.834 0.500 0.829
0.223 0.000 0.366
0.500 0.500 0.000
0.777 0.000 0.634
0.296 0.500 0.707
0.704 0.500 0.293
```

* magnetic moment: 0.000 μB/f.u.

---

Crystalline Dy5YTl4 at its relaxed geometry. Source: the Alexandria database, functional PBE.

The structure in POSCAR format:
```
Dy5YTl4
1.0
8.167 0.000 0.000
0.000 9.348 0.000
0.000 0.000 8.455
Dy Y Tl
10 2 8
Direct
0.009 0.056 0.229
0.009 0.444 0.229
0.250 0.250 0.581
0.491 0.056 0.229
0.491 0.444 0.229
0.509 0.556 0.771
0.509 0.944 0.771
0.750 0.750 0.419
0.991 0.556 0.771
0.991 0.944 0.771
0.250 0.750 0.173
0.750 0.250 0.827
0.079 0.250 0.937
0.250 0.583 0.499
0.250 0.917 0.499
0.421 0.250 0.937
0.579 0.750 0.063
0.750 0.083 0.501
0.750 0.417 0.501
0.921 0.750 0.063
```

* magnetic moment: 0.000 μB/f.u.

---

Crystalline Dy3YTl3 at its relaxed geometry. Source: the Alexandria database, functional PBE.

The structure in POSCAR format:
```
Dy3YTl3
1.0
9.413 0.000 0.000
-4.707 8.152 0.000
0.000 0.000 5.224
Dy Y Tl
6 2 6
Direct
0.002 0.234 0.250
0.233 0.998 0.250
0.234 0.233 0.750
0.766 0.767 0.250
0.767 0.002 0.750
0.998 0.766 0.750
0.333 0.667 0.250
0.667 0.333 0.750
0.072 0.450 0.750
0.378 0.928 0.750
0.450 0.378 0.250
0.550 0.622 0.750
0.622 0.072 0.250
0.928 0.550 0.250
```

* magnetic moment: 0.000 μB/f.u.

---

Crystalline Dy3Y3Tl2 at its relaxed geometry. Source: the Alexandria database, functional PBE.

The structure in POSCAR format:
```
Dy3Y3Tl2
1.0
4.859 0.000 0.000
0.000 4.880 0.000
0.000 0.000 9.682
Dy Y Tl
3 3 2
Direct
0.000 0.000 0.000
0.500 0.000 0.249
0.500 0.000 0.751
0.000 0.000 0.500
0.500 0.500 0.000
0.500 0.500 0.500
0.000 0.500 0.250
0.000 0.500 0.750
```

* magnetic moment: 2.196 μB/f.u.

---

Crystalline Dy2Y3Tl at its relaxed geometry. Source: the Alexandria database, functional PBE.

The structure in POSCAR format:
```
Dy2Y3Tl
1.0
2.440 -7.604 0.000
2.440 7.604 0.000
0.000 0.000 4.863
Dy Y Tl
2 3 1
Direct
0.163 0.837 0.000
0.837 0.163 0.000
0.000 0.000 0.500
0.331 0.669 0.500
0.669 0.331 0.500
0.500 0.500 0.000
```

* magnetic moment: 0.000 μB/f.u.

---

Crystalline DyYTl at its relaxed geometry. Source: the Alexandria database, functional PBE.

The structure in POSCAR format:
```
DyYTl
1.0
-1.793 1.793 6.846
1.793 -1.793 6.846
1.793 1.793 -6.846
Dy Y Tl
1 1 1
Direct
0.000 0.000 0.000
0.686 0.686 0.000
0.343 0.343 0.000
```

* magnetic moment: 0.000 μB/f.u.

---

Number 1: E -4.720 eV per atom, density of states at the Fermi level 12.1 states/eV/cell, energy of formation from the pure elements -25 meV/atom. Number 2: E -3.907 eV per atom, density of states at the Fermi level 22.3 states/eV/cell, energy of formation from the pure elements -13 meV/atom. Number 3: E -4.139 eV per atom, density of states at the Fermi level 11.3 states/eV/cell, energy of formation from the pure elements -229 meV/atom. Number 4: E -4.928 eV per atom, density of states at the Fermi level 8.6 states/eV/cell, energy of formation from the pure elements -187 meV/atom. Number 5: E -5.272 eV per atom, density of states at the Fermi level 7.2 states/eV/cell, energy of formation from the pure elements -112 meV/atom. Number 6: E -4.720 eV per atom, density of states at the Fermi level 3.6 states/eV/cell, energy of formation from the pure elements -243 meV/atom.